Computed, not measured: a relaxed structure of CeHf2TiN4 at the PBE-GGA level of DFT.

Computed properties:
ΔE_f (raw): -1.516 eV/atom

CIF file:
```
data_CeHf2TiN4
_cell_length_a 3.232
_cell_length_b 11.352
_cell_length_c 11.367
_cell_angle_alpha 90.00
_cell_angle_beta 90.00
_cell_angle_gamma 90.00
_space_group_name_H-M_alt 'C m c m'
_space_group_IT_number 63
_space_group_name_Hall '-C 2c 2'
loop_
_atom_site_label
_atom_site_type_symbol
_atom_site_fract_x
_atom_site_fract_y
_atom_site_fract_z
Ce1 Ce 0.000 0.105 0.250
Hf1 Hf 0.000 0.370 0.038
Ti1 Ti 0.000 0.160 0.750
N1 N 0.000 0.000 0.000
N2 N 0.000 0.260 0.612
N3 N 0.000 0.446 0.250
```

Computed, not measured: a relaxed structure of Ti5Si2Ge2 at the PBE-GGA level of DFT.

Computed properties:
ΔE_f (raw): -0.716 eV/atom

CIF file:
```
data_Ti5Si2Ge2
_cell_length_a 12.864
_cell_length_b 6.736
_cell_length_c 6.645
_cell_angle_alpha 90.00
_cell_angle_beta 90.00
_cell_angle_gamma 90.00
_space_group_name_H-M_alt 'C m c e'
_space_group_IT_number 64
_space_group_name_Hall '-C 2ac 2'
loop_
_atom_site_label
_atom_site_type_symbol
_atom_site_fract_x
_atom_site_fract_y
_atom_site_fract_z
Ti1 Ti 0.000 0.000 0.000
Ti2 Ti 0.132 0.169 0.330
Si1 Si 0.000 0.128 0.627
Ge1 Ge 0.208 0.000 0.000
```

Computed, not measured: a relaxed structure of Be9NbAu2 at the PBE-GGA level of DFT.

Computed properties:
ΔH_f (0 K): -163 meV/atom

CIF file:
```
data_Be9NbAu2
_cell_length_a 4.4588
_cell_length_b 4.4588
_cell_length_c 21.5564
_cell_angle_alpha 90.00
_cell_angle_beta 90.00
_cell_angle_gamma 120.00
_space_group_name_H-M_alt 'R -3 m'
_space_group_IT_number 166
_space_group_name_Hall '-R 3 2"'
loop_
_atom_site_label
_atom_site_type_symbol
_atom_site_fract_x
_atom_site_fract_y
_atom_site_fract_z
Be1 Be 0.0000 0.0000 0.0000
Be2 Be 0.0000 0.0000 0.1676
Be3 Be 0.0031 0.5016 0.5793
Nb1 Nb 0.0000 0.0000 0.5000
Au1 Au 0.0000 0.0000 0.3633
```

Computed, not measured: a relaxed structure of SrBeAg2 at the PBE-GGA level of DFT.

Computed properties:
ΔH_f (0 K): -4 meV/atom

CIF file:
```
data_SrBeAg2
_cell_length_a 7.606
_cell_length_b 4.387
_cell_length_c 6.058
_cell_angle_alpha 90.00
_cell_angle_beta 114.52
_cell_angle_gamma 90.00
_space_group_name_H-M_alt 'C 1 2/m 1'
_space_group_IT_number 12
loop_
_space_group_symop_operation_xyz
'x,y,z'
'-x,-y,-z'
'-x,y,-z'
'x,-y,z'
'x+1/2,y+1/2,z'
'-x+1/2,-y+1/2,-z'
'-x+1/2,y+1/2,-z'
'x+1/2,-y+1/2,z'
loop_
_atom_site_label
_atom_site_type_symbol
_atom_site_fract_x
_atom_site_fract_y
_atom_site_fract_z
Sr1 Sr 0.000 0.000 0.000
Be1 Be 0.000 0.500 0.500
Ag1 Ag 0.199 0.000 0.599
```

no.,D(E_F) (states/eV/atom)
1,0.52
2,0.83
3,0.22
4,0.32